# 1
Computed, not measured: Rb2TbGaBr6 after structural relaxation at the GGA-PBE level of DFT.

Output
SG: P2_1/c, No. 14
Total magnetic moment: 0.000 μB per atom
E: -3.56 eV/atom

a = 7.959 Å, b = 8.351 Å, c = 11.427 Å
α = 90.00°, β = 89.55°, γ = 90.00°
Sites, in units of the cell vectors:
Rb (0.023, 0.929, 0.251)
Rb (0.523, 0.571, 0.751)
Rb (0.977, 0.071, 0.749)
Rb (0.477, 0.429, 0.249)
Tb (0.500, 0.000, 0.500)
Tb (0.000, 0.500, 0.000)
Ga (0.500, 0.000, 0.000)
Ga (0.000, 0.500, 0.500)
Br (0.288, 0.688, 0.047)
Br (0.788, 0.812, 0.547)
Br (0.712, 0.312, 0.953)
Br (0.212, 0.188, 0.453)
Br (0.317, 0.717, 0.450)
Br (0.817, 0.783, 0.950)
Br (0.683, 0.283, 0.550)
Br (0.183, 0.217, 0.050)
Br (0.904, 0.525, 0.238)
Br (0.404, 0.975, 0.738)
Br (0.096, 0.475, 0.762)
Br (0.596, 0.025, 0.262)

# 2
Computed, not measured: K5IO4F2 after structural relaxation at the GGA-PBE level of DFT.

Output
SG: Amm2, No. 38
Total magnetic moment: 0.005 μB per atom
E: -4.21 eV/atom

a = 6.576 Å, b = 6.855 Å, c = 7.187 Å
α = 90.00°, β = 90.00°, γ = 118.66°
Sites, in units of the cell vectors:
K (0.000, 0.396, 0.249)
K (0.331, 0.000, 0.500)
K (0.000, 0.396, 0.751)
K (0.605, 0.604, 0.751)
K (0.605, 0.604, 0.249)
I (0.461, 0.000, 0.000)
O (0.623, 0.000, 0.215)
O (0.623, 0.000, 0.785)
O (0.634, 0.327, 0.000)
O (0.307, 0.673, 0.000)
F (0.928, 0.640, 0.500)
F (0.288, 0.360, 0.500)